PaWAuO6 | GGA+U | relaxed

Cell: 5.6585 5.6585 9.8657 Å, 90.00 90.00 120.00°
With the nearest neighbours (Å) after each atom.
Positions (direct):
1 O 0.6095 0.6393 0.6416  1 W 1.96, 1 Pa 2.19
2 O 0.3607 0.3905 0.8584  1 W 1.96, 1 Pa 2.19
3 Pa 0.6667 0.3333 0.7500  6 O 2.19
4 O 0.3905 0.3607 0.3584  1 W 1.96, 1 Pa 2.19
5 W 0.3333 0.6667 0.7500  6 O 1.96
6 O 0.6393 0.0298 0.3584  1 W 1.96, 1 Pa 2.19
7 O 0.6393 0.6095 0.1416  1 W 1.96, 1 Pa 2.19
8 O 0.9702 0.6095 0.3584  1 W 1.96, 1 Pa 2.19
9 Au 0.0000 0.0000 0.0000  6 O 2.55
10 O 0.0298 0.3905 0.6416  1 W 1.96, 1 Pa 2.19
11 O 0.0298 0.6393 0.8584  1 W 1.96, 1 Pa 2.19
12 W 0.6667 0.3333 0.2500  6 O 1.96
13 O 0.3607 0.9702 0.6416  1 W 1.96, 1 Pa 2.19
14 O 0.9702 0.3607 0.1416  1 W 1.96, 1 Pa 2.19
15 O 0.6095 0.9702 0.8584  1 W 1.96, 1 Pa 2.19
16 Au 0.0000 0.0000 0.5000  6 O 2.55
17 O 0.3905 0.0298 0.1416  1 W 1.96, 1 Pa 2.19
18 Pa 0.3333 0.6667 0.2500  6 O 2.19

Summary:
volume = 15.2 Å³/atom
crystal system = trigonal
energy = -7.590 eV per atom
space-group type = P-31c (163)